# 1
## MnZnCu2 (PBEsol)

Data for a geometry-optimized MnZnCu2 structure.

Cell: 2.9387 2.9387 5.6559 Å, 90.00 90.00 90.00°
Closest atoms and distances in Å follow each position.
Sites, in units of the cell vectors:
Cu 0.0000 0.0000 0.0052  4 Cu 2.48, 4 Zn 2.50, 1 Mn 2.75
Cu 0.5000 0.5000 0.2445  4 Cu 2.48, 4 Mn 2.50, 1 Zn 2.74
Mn 0.0000 0.0000 0.4909  5 Cu 2.50-2.75, 4 Zn 2.57
Zn 0.5000 0.5000 0.7594  5 Cu 2.50-2.74, 4 Mn 2.57

Results
The calculation puts the size of the total moment at 3.2 μB per cell. As for the energy: -4.893 eV per atom. Its formation energy is 0.11 eV per atom.

=====

# 2
## In2PSe (PBEsol)

Data for a geometry-optimized In2PSe structure.

Cell: 3.9775 3.9775 5.5640 Å, 90.00 90.00 89.99°
Closest atoms and distances in Å follow each position.
Sites, in units of the cell vectors:
In 0.1251 0.8749 0.0000  2 Se 2.78, 4 P 2.81
In 0.6261 0.3739 0.5000  2 P 2.78, 4 Se 2.81
P 0.6252 0.3748 0.0000  6 In 2.78-2.81
Se 0.1260 0.8740 0.5000  6 In 2.78-2.81

Results
The calculation puts the energy above the lowest structure with this stoichiometry at 0 meV/atom. The calculation puts the size of the total moment at 0.0 μB per cell. For the energy relative to the elements, uncorrected, the calculation gives -0.254 eV per atom. As for the energy: -4.156 eV per atom.

=====

# 3
## LaBe2Mo (PBEsol)

Data for a geometry-optimized LaBe2Mo structure.

Cell: 3.9835 3.9835 4.9064 Å, 113.95 113.95 90.00°
Closest atoms and distances in Å follow each position.
Sites, in units of the cell vectors:
Be 0.0000 0.0000 0.0000  4 La 2.82, 4 Be 2.83, 4 Mo 2.83
Be 0.7500 0.2500 0.5000  4 Mo 2.82, 4 La 2.83, 4 Be 2.83
Mo 0.2500 0.7500 0.5000  8 Be 2.82-2.83, 4 La 2.83
La 0.5000 0.5000 0.0000  8 Be 2.82-2.83, 4 Mo 2.83

Results
The calculation puts the energy above the lowest structure with this stoichiometry at 197 meV/atom. The calculation puts the size of the total moment at 0.0 μB per cell. As for the energy: -5.523 eV per atom. Its formation energy is 0.76 eV per atom.

=====

# 4
## LiY2Ir (PBEsol)

Data for a geometry-optimized LiY2Ir structure.

Cell: 3.3199 4.4117 5.8735 Å, 90.00 90.00 90.00°
Closest atoms and distances in Å follow each position.
Sites, in units of the cell vectors:
Ir 0.0000 0.0000 0.4558  6 Y 2.88-2.98
Li 0.5000 0.5000 0.7621  1 Y 2.60
Y 0.0000 0.0000 0.9631  2 Ir 2.89-2.98, 4 Li 3.00
Y 0.5000 0.5000 0.3190  1 Li 2.60, 4 Ir 2.88

Results
The calculation puts the size of the total moment at 0.0 μB per cell. As for the energy: -6.488 eV per atom. Its formation energy is -0.13 eV per atom.

=====

# 5
## LiCrAs3 (PBEsol)

Data for a geometry-optimized LiCrAs3 structure.

Cell: 4.6413 4.6413 4.6413 Å, 90.00 90.00 90.00°
Closest atoms and distances in Å follow each position.
Sites, in units of the cell vectors:
Cr 0.0000 0.0000 0.0000  6 As 2.32
As 0.0000 0.5000 0.0000  2 Cr 2.32
As 0.0000 0.0000 0.5000  2 Cr 2.32
As 0.5000 0.0000 0.0000  2 Cr 2.32
Li 0.5000 0.5000 0.5000  12 As 3.28

Results
The calculation puts the size of the total moment at 1.1 μB per cell. As for the energy: -5.331 eV per atom. Its formation energy is 0.17 eV per atom.

=====

# 6
## SmGeAu (PBEsol)

Data for a geometry-optimized SmGeAu structure.

Cell: 4.4399 4.4399 7.4147 Å, 90.00 90.00 120.00°
Closest atoms and distances in Å follow each position.
Sites, in units of the cell vectors:
Ge 0.3333 0.6667 0.2851  3 Au 2.61
Ge 0.6667 0.3333 0.7851  3 Au 2.61
Au 0.3333 0.6667 0.7170  3 Ge 2.61
Au 0.6667 0.3333 0.2170  3 Ge 2.61
Sm 0.0000 0.0000 0.9972  6 Ge 3.01-3.34, 6 Au 3.04-3.30
Sm 0.0000 0.0000 0.4972  6 Ge 3.01-3.34, 6 Au 3.04-3.30

Results
The calculation puts the size of the total moment at 0.0 μB per cell. As for the energy: -5.539 eV per atom. Its formation energy is -0.89 eV per atom.